DFT (PBE-GGA) results for a relaxed PmU4Se7 crystal.

- uncorrected energy (eV per formula unit) = -88.8
- density of states at the Fermi level (states/eV per atom) = 1.385
- calculated volume (Å³/atom) = 28.53

Structure (CIF):
```
data_PmU4Se7
_cell_length_a 4.0610
_cell_length_b 4.0610
_cell_length_c 23.9692
_cell_angle_alpha 90.00
_cell_angle_beta 90.00
_cell_angle_gamma 120.00
_space_group_name_H-M_alt 'P -3 m 1'
_space_group_IT_number 164
_space_group_name_Hall '-P 3 2"'
loop_
_atom_site_label
_atom_site_type_symbol
_atom_site_fract_x
_atom_site_fract_y
_atom_site_fract_z
Pm1 Pm 0.0000 0.0000 0.0000
U1 U 0.3333 0.6667 0.1474
U2 U 0.3333 0.6667 0.4281
Se1 Se 0.0000 0.0000 0.2127
Se2 Se 0.0000 0.0000 0.5000
Se3 Se 0.3333 0.6667 0.6376
Se4 Se 0.3333 0.6667 0.9250
```



DFT (PBE-GGA) results for a relaxed PmU6Se8 crystal.

- uncorrected energy (eV per formula unit) = -117.6
- density of states at the Fermi level (states/eV per atom) = 2.869
- calculated volume (Å³/atom) = 25.18

Structure (CIF):
```
data_PmU6Se8
_cell_length_a 11.474
_cell_length_b 11.474
_cell_length_c 11.474
_cell_angle_alpha 90.00
_cell_angle_beta 90.00
_cell_angle_gamma 90.00
_space_group_name_H-M_alt 'F m -3 m'
_space_group_IT_number 225
_space_group_name_Hall '-F 4 2 3'
loop_
_atom_site_label
_atom_site_type_symbol
_atom_site_fract_x
_atom_site_fract_y
_atom_site_fract_z
Pm1 Pm 0.000 0.000 0.000
U1 U 0.000 0.250 0.250
Se1 Se 0.000 0.000 0.260
Se2 Se 0.250 0.250 0.250
```



DFT (PBE-GGA) results for a relaxed PmU2Se5 crystal.

- uncorrected energy (eV per formula unit) = -55.5
- energy relative to the lowest polymorph listed for this composition (meV per atom) = 0
- density of states at the Fermi level (states/eV per atom) = 1.790
- calculated volume (Å³/atom) = 25.16

Structure (CIF):
```
data_PmU2Se5
_cell_length_a 12.515
_cell_length_b 8.252
_cell_length_c 7.795
_cell_angle_alpha 90.00
_cell_angle_beta 90.00
_cell_angle_gamma 90.00
_space_group_name_H-M_alt 'P n m a'
_space_group_IT_number 62
_space_group_name_Hall '-P 2ac 2n'
loop_
_atom_site_label
_atom_site_type_symbol
_atom_site_fract_x
_atom_site_fract_y
_atom_site_fract_z
Pm1 Pm 0.006 0.250 0.084
U1 U 0.182 0.501 0.510
Se1 Se 0.001 0.250 0.471
Se2 Se 0.108 0.546 0.162
Se3 Se 0.184 0.250 0.821
Se4 Se 0.217 0.750 0.791
```



DFT (PBE-GGA) results for a relaxed PmUSe2 crystal.

- uncorrected energy (eV per formula unit) = -28.4
- energy relative to the lowest polymorph listed for this composition (meV per atom) = 60
- density of states at the Fermi level (states/eV per atom) = 0.871
- calculated volume (Å³/atom) = 25.23

Structure (CIF):
```
data_PmUSe2
_cell_length_a 3.9368
_cell_length_b 3.9368
_cell_length_c 22.5523
_cell_angle_alpha 90.00
_cell_angle_beta 90.00
_cell_angle_gamma 120.00
_space_group_name_H-M_alt 'R 3 m'
_space_group_IT_number 160
_space_group_name_Hall 'R 3 -2"'
loop_
_atom_site_label
_atom_site_type_symbol
_atom_site_fract_x
_atom_site_fract_y
_atom_site_fract_z
Pm1 Pm 0.0000 0.0000 0.0000
U1 U 0.0000 0.0000 0.1736
Se1 Se 0.0000 0.0000 0.4207
Se2 Se 0.0000 0.0000 0.5863
```



DFT (PBE-GGA) results for a relaxed PmUSe crystal.

- uncorrected energy (eV per formula unit) = -19.7
- density of states at the Fermi level (states/eV per atom) = 2.416
- calculated volume (Å³/atom) = 26.68

Structure (CIF):
```
data_PmUSe
_cell_length_a 3.394
_cell_length_b 5.810
_cell_length_c 16.231
_cell_angle_alpha 90.00
_cell_angle_beta 90.00
_cell_angle_gamma 90.00
_space_group_name_H-M_alt 'I m m m'
_space_group_IT_number 71
_space_group_name_Hall '-I 2 2'
loop_
_atom_site_label
_atom_site_type_symbol
_atom_site_fract_x
_atom_site_fract_y
_atom_site_fract_z
Pm1 Pm 0.000 0.249 0.000
U1 U 0.000 0.500 0.191
Se1 Se 0.000 0.500 0.366
```



DFT (PBE-GGA) results for a relaxed Pm5U2Se12 crystal.

- uncorrected energy (eV per formula unit) = -118.1
- density of states at the Fermi level (states/eV per atom) = 0.341
- calculated volume (Å³/atom) = 29.99

Structure (CIF):
```
data_Pm5U2Se12
_cell_length_a 16.217
_cell_length_b 7.779
_cell_length_c 9.467
_cell_angle_alpha 90.00
_cell_angle_beta 107.44
_cell_angle_gamma 90.00
_space_group_name_H-M_alt 'C 1 2/m 1'
_space_group_IT_number 12
_space_group_name_Hall '-C 2y'
loop_
_atom_site_label
_atom_site_type_symbol
_atom_site_fract_x
_atom_site_fract_y
_atom_site_fract_z
Pm1 Pm 0.000 0.000 0.000
Pm2 Pm 0.187 0.500 0.323
Pm3 Pm 0.207 0.500 0.864
U1 U 0.000 0.255 0.500
Se1 Se 0.003 0.500 0.721
Se2 Se 0.007 0.000 0.305
Se3 Se 0.148 0.253 0.064
Se4 Se 0.176 0.268 0.593
```



DFT (PBE-GGA) results for a relaxed Pm2U3Se8 crystal.

- uncorrected energy (eV per formula unit) = -88.8
- energy relative to the lowest polymorph listed for this composition (meV per atom) = 0
- density of states at the Fermi level (states/eV per atom) = 1.394
- calculated volume (Å³/atom) = 26.76

Structure (CIF):
```
data_Pm2U3Se8
_cell_length_a 9.864
_cell_length_b 14.193
_cell_length_c 4.970
_cell_angle_alpha 90.00
_cell_angle_beta 90.00
_cell_angle_gamma 90.00
_space_group_name_H-M_alt 'C m m m'
_space_group_IT_number 65
_space_group_name_Hall '-C 2 2'
loop_
_atom_site_label
_atom_site_type_symbol
_atom_site_fract_x
_atom_site_fract_y
_atom_site_fract_z
Pm1 Pm 0.000 0.233 0.000
U1 U 0.000 0.500 0.000
U2 U 0.235 0.000 0.500
Se1 Se 0.000 0.124 0.500
Se2 Se 0.000 0.385 0.500
Se3 Se 0.238 0.379 0.000
```



DFT (PBE-GGA) results for a relaxed Pm3V5Se12 crystal.

- uncorrected energy (eV per formula unit) = -122.1
- density of states at the Fermi level (states/eV per atom) = 0.348
- calculated volume (Å³/atom) = 24.89

Structure (CIF):
```
data_Pm3V5Se12
_cell_length_a 15.851
_cell_length_b 15.851
_cell_length_c 15.851
_cell_angle_alpha 90.00
_cell_angle_beta 90.00
_cell_angle_gamma 90.00
_space_group_name_H-M_alt 'I a -3 d'
_space_group_IT_number 230
_space_group_name_Hall '-I 4bd 2c 3'
loop_
_atom_site_label
_atom_site_type_symbol
_atom_site_fract_x
_atom_site_fract_y
_atom_site_fract_z
Pm1 Pm 0.000 0.250 0.125
V1 V 0.000 0.000 0.000
V2 V 0.000 0.250 0.375
Se1 Se 0.030 0.059 0.649
```



DFT (PBE-GGA) results for a relaxed Pm2VSe5 crystal.

- uncorrected energy (eV per formula unit) = -45.3
- density of states at the Fermi level (states/eV per atom) = 0.270
- calculated volume (Å³/atom) = 25.27

Structure (CIF):
```
data_Pm2VSe5
_cell_length_a 7.130
_cell_length_b 7.130
_cell_length_c 7.954
_cell_angle_alpha 90.00
_cell_angle_beta 90.00
_cell_angle_gamma 90.00
_space_group_name_H-M_alt 'I 4 m m'
_space_group_IT_number 107
_space_group_name_Hall 'I 4 -2'
loop_
_atom_site_label
_atom_site_type_symbol
_atom_site_fract_x
_atom_site_fract_y
_atom_site_fract_z
Pm1 Pm 0.000 0.500 0.000
V1 V 0.000 0.000 0.335
Se1 Se 0.000 0.000 0.606
Se2 Se 0.239 0.239 0.273
```



DFT (PBE-GGA) results for a relaxed PmW4Se8 crystal.

- uncorrected energy (eV per formula unit) = -88.5
- density of states at the Fermi level (states/eV per atom) = 1.013
- calculated volume (Å³/atom) = 23.25

Structure (CIF):
```
data_PmW4Se8
_cell_length_a 6.7449
_cell_length_b 6.7449
_cell_length_c 23.0125
_cell_angle_alpha 90.00
_cell_angle_beta 90.00
_cell_angle_gamma 120.00
_space_group_name_H-M_alt 'R -3 m'
_space_group_IT_number 166
_space_group_name_Hall '-R 3 2"'
loop_
_atom_site_label
_atom_site_type_symbol
_atom_site_fract_x
_atom_site_fract_y
_atom_site_fract_z
Pm1 Pm 0.0000 0.0000 0.0000
W1 W 0.0000 0.0000 0.5000
W2 W 0.0000 0.5000 0.5000
Se1 Se 0.0000 0.0000 0.2406
Se2 Se 0.0058 0.5029 0.2409
```



DFT (PBE-GGA) results for a relaxed Pm6WSe12 crystal.

- uncorrected energy (eV per formula unit) = -110.8
- density of states at the Fermi level (states/eV per atom) = 0.075
- calculated volume (Å³/atom) = 28.38

Structure (CIF):
```
data_Pm6WSe12
_cell_length_a 12.4934
_cell_length_b 12.4934
_cell_length_c 11.9676
_cell_angle_alpha 90.00
_cell_angle_beta 90.00
_cell_angle_gamma 120.00
_space_group_name_H-M_alt 'R -3'
_space_group_IT_number 148
_space_group_name_Hall '-R 3'
loop_
_atom_site_label
_atom_site_type_symbol
_atom_site_fract_x
_atom_site_fract_y
_atom_site_fract_z
Pm1 Pm 0.0507 0.7742 0.1354
W1 W 0.0000 0.0000 0.5000
Se1 Se 0.0335 0.8173 0.8943
Se2 Se 0.0579 0.8671 0.3808
```



DFT (PBE-GGA) results for a relaxed Pm2Y3Se6 crystal.

- uncorrected energy (eV per formula unit) = -70.6
- energy relative to the lowest polymorph listed for this composition (meV per atom) = 0
- density of states at the Fermi level (states/eV per atom) = 0.414
- calculated volume (Å³/atom) = 26.88

Structure (CIF):
```
data_Pm2Y3Se6
_cell_length_a 7.137
_cell_length_b 12.307
_cell_length_c 7.139
_cell_angle_alpha 90.00
_cell_angle_beta 109.42
_cell_angle_gamma 90.00
_space_group_name_H-M_alt 'C 1 2/m 1'
_space_group_IT_number 12
_space_group_name_Hall '-C 2y'
loop_
_atom_site_label
_atom_site_type_symbol
_atom_site_fract_x
_atom_site_fract_y
_atom_site_fract_z
Pm1 Pm 0.000 0.165 0.000
Y1 Y 0.000 0.000 0.500
Y2 Y 0.000 0.334 0.500
Se1 Se 0.242 0.500 0.748
Se2 Se 0.249 0.336 0.256
```



> Look up the density of states at the Fermi level of the fourth one.

0.871 states/eV per atom



> uncorrected energy of number 1 (PmU4Se7)?

-88.8 eV per formula unit



> Which formula does entry 5 have?

PmUSe